A plane-wave DFT calculation with PBE-GGA was carried out for an optimized crystal structure of VSn2Se4.

Cell: 4.7051 4.7051 16.0160 Å, 90.00 90.00 90.00°
Last column: nearest neighbours and their distance in Å.
Space group I4/mmm (No. 139)
Inequivalent atoms, fractional coordinates:
V: 0.0000 0.0000 0.0000  4 Se 2.35
Sn: 0.0000 0.0000 0.3445  1 Se 2.82
Se: 0.0000 0.0000 0.1686  1 V 2.70, 1 Sn 2.82
Se: 0.0000 0.5000 0.0000  2 V 2.35

Computed properties:
volume = 354.6 Å³ per cell
magnetic moment = 1.12 μB/f.u.
raw formation energy = -271.0 meV/atom
E = -65.9 eV per cell

A plane-wave DFT calculation with PBE-GGA was carried out for an optimized crystal structure of VSn2Se2.

Cell: 6.4634 6.4634 5.9716 Å, 90.00 90.00 90.00°
Last column: nearest neighbours and their distance in Å.
Space group P4/mbm (No. 127)
Inequivalent atoms, fractional coordinates:
V: 0.0000 0.0000 0.0000  4 Se 2.43
Sn: 0.2072 0.2928 0.5000  2 Se 3.02, 4 Sn 3.28
Se: 0.1592 0.3408 0.0000  2 V 2.43

Computed properties:
volume = 249.5 Å³ per cell
ΔE to the lowest computed polymorph = 0.000 eV per atom
magnetic moment = 1.47 μB/f.u.
raw formation energy = -116.2 meV/atom
E = -49.3 eV per cell

A plane-wave DFT calculation with PBE-GGA was carried out for an optimized crystal structure of VSnSe3.

Cell: 4.9130 4.9130 4.9130 Å, 90.00 90.00 90.00°
Last column: nearest neighbours and their distance in Å.
Space group Pm-3m (No. 221)
Inequivalent atoms, fractional coordinates:
V: 0.0000 0.0000 0.0000  6 Se 2.46
Sn: 0.5000 0.5000 0.5000  12 Se 3.47
Se: 0.0000 0.0000 0.5000  2 V 2.46

Computed properties:
volume = 118.6 Å³ per cell
ΔE to the lowest computed polymorph = 0.315 eV per atom
magnetic moment = 1.18 μB/f.u.
raw formation energy = -180.0 meV/atom
E = -24.5 eV per cell

A plane-wave DFT calculation with PBE-GGA was carried out for an optimized crystal structure of V2Sn2Se.

Cell: 6.7409 6.7409 4.3244 Å, 90.00 90.00 90.00°
Last column: nearest neighbours and their distance in Å.
Space group P4/mbm (No. 127)
Inequivalent atoms, fractional coordinates:
V: 0.1550 0.3451 0.0000  2 Se 2.55, 2 Sn 2.82
Sn: 0.1547 0.6547 0.5000  6 V 2.82-3.01, 1 Sn 2.95
Se: 0.0000 0.0000 0.0000  4 V 2.55

Computed properties:
volume = 196.5 Å³ per cell
magnetic moment = 3.79 μB/f.u.
raw formation energy = 71.9 meV/atom
E = -58.7 eV per cell

A plane-wave DFT calculation with PBE-GGA was carried out for an optimized crystal structure of VSn3Se.

Cell: 5.4332 5.4332 5.4332 Å, 90.00 90.00 90.00°
Last column: nearest neighbours and their distance in Å.
Space group Pm-3m (No. 221)
Inequivalent atoms, fractional coordinates:
V: 0.0000 0.0000 0.0000  12 Sn 3.84
Sn: 0.0000 0.5000 0.5000  2 Se 2.72
Se: 0.5000 0.5000 0.5000  6 Sn 2.72

Computed properties:
volume = 160.4 Å³ per cell
ΔE to the lowest computed polymorph = 0.591 eV per atom
magnetic moment = 3.50 μB/f.u.
raw formation energy = 883.2 meV/atom
E = -20.2 eV per cell

A plane-wave DFT calculation with PBE-GGA was carried out for an optimized crystal structure of VSnSe3.

Cell: 4.0478 22.2672 6.7310 Å, 90.00 90.00 90.00°
Last column: nearest neighbours and their distance in Å.
Space group Cmc2_1 (No. 36)
Inequivalent atoms, fractional coordinates:
V: 0.0000 0.1141 0.0000  4 Se 2.30-2.45
Sn: 0.0000 0.3389 0.9216  5 Se 2.85-2.97
Se: 0.0000 0.1006 0.6608  1 V 2.30
Se: 0.0000 0.2095 0.1414  1 V 2.33
Se: 0.0000 0.4328 0.6341  2 V 2.45

Computed properties:
volume = 606.7 Å³ per cell
ΔE to the lowest computed polymorph = 0.054 eV per atom
magnetic moment = 1.00 μB/f.u.
raw formation energy = -441.3 meV/atom
E = -103.1 eV per cell

A plane-wave DFT calculation with PBE-GGA was carried out for an optimized crystal structure of VSn2Se2.

Cell: 3.9343 3.9343 16.4474 Å, 90.00 90.00 90.00°
Last column: nearest neighbours and their distance in Å.
Space group I4/mmm (No. 139)
Inequivalent atoms, fractional coordinates:
V: 0.0000 0.0000 0.0000  8 Se 3.10
Sn: 0.0000 0.5000 0.2500  4 Sn 2.78
Se: 0.0000 0.0000 0.4164  1 Se 2.75

Computed properties:
volume = 254.6 Å³ per cell
ΔE to the lowest computed polymorph = 0.434 eV per atom
magnetic moment = 2.92 μB/f.u.
raw formation energy = 317.7 meV/atom
E = -45.0 eV per cell

A plane-wave DFT calculation with PBE-GGA was carried out for an optimized crystal structure of VSn3Se.

Cell: 5.1909 5.1909 5.1909 Å, 90.00 90.00 90.00°
Last column: nearest neighbours and their distance in Å.
Space group Pm-3m (No. 221)
Inequivalent atoms, fractional coordinates:
V: 0.0000 0.0000 0.0000  6 Sn 2.60
Sn: 0.0000 0.0000 0.5000  2 V 2.60
Se: 0.5000 0.5000 0.5000  12 Sn 3.67

Computed properties:
volume = 139.9 Å³ per cell
ΔE to the lowest computed polymorph = 0.000 eV per atom
magnetic moment = 2.57 μB/f.u.
raw formation energy = 292.7 meV/atom
E = -23.1 eV per cell

A plane-wave DFT calculation with PBE-GGA was carried out for an optimized crystal structure of SnW2Se.

Cell: 6.5067 6.5067 6.5067 Å, 90.00 90.00 90.00°
Last column: nearest neighbours and their distance in Å.
Space group Fm-3m (No. 225)
Inequivalent atoms, fractional coordinates:
Sn: 0.0000 0.0000 0.0000  8 W 2.82
W: 0.2500 0.2500 0.2500  4 Sn 2.82, 4 Se 2.82
Se: 0.0000 0.0000 0.5000  8 W 2.82

Computed properties:
volume = 275.5 Å³ per cell
ΔE to the lowest computed polymorph = 0.000 eV per atom
magnetic moment = 0.00 μB/f.u.
raw formation energy = 736.4 meV/atom
E = -121.8 eV per cell

A plane-wave DFT calculation with PBE-GGA was carried out for an optimized crystal structure of SnWSe3.

Cell: 4.9864 4.9864 4.9864 Å, 90.00 90.00 90.00°
Last column: nearest neighbours and their distance in Å.
Space group Pm-3m (No. 221)
Inequivalent atoms, fractional coordinates:
Sn: 0.0000 0.0000 0.0000  12 Se 3.53
W: 0.5000 0.5000 0.5000  6 Se 2.49
Se: 0.0000 0.5000 0.5000  2 W 2.49

Computed properties:
volume = 124.0 Å³ per cell
ΔE to the lowest computed polymorph = 0.000 eV per atom
magnetic moment = 0.00 μB/f.u.
raw formation energy = 179.8 meV/atom
E = -26.5 eV per cell

A plane-wave DFT calculation with PBE-GGA was carried out for an optimized crystal structure of SnW3Se.

Cell: 4.9349 4.9349 4.9349 Å, 90.00 90.00 90.00°
Last column: nearest neighbours and their distance in Å.
Space group Pm-3m (No. 221)
Inequivalent atoms, fractional coordinates:
Sn: 0.0000 0.0000 0.0000  6 W 2.47
W: 0.0000 0.0000 0.5000  2 Sn 2.47
Se: 0.5000 0.5000 0.5000  12 W 3.49

Computed properties:
volume = 120.2 Å³ per cell
ΔE to the lowest computed polymorph = 1.338 eV per atom
magnetic moment = 0.00 μB/f.u.
raw formation energy = 2872.2 meV/atom
E = -32.0 eV per cell

A plane-wave DFT calculation with PBE-GGA was carried out for an optimized crystal structure of SnWSe.

Cell: 10.2068 5.4014 7.7796 Å, 90.00 94.01 90.00°
Last column: nearest neighbours and their distance in Å.
Space group Cm (No. 8)
Inequivalent atoms, fractional coordinates:
Sn: 0.0000 0.0000 0.0000  4 W 2.84-2.94
Sn: 0.0374 0.0000 0.4940  2 W 2.78, 1 Se 2.93
Sn: 0.1173 0.5000 0.2348  3 W 2.67-2.79
W: 0.2523 0.2573 0.9843  3 Se 2.49-2.64, 2 W 2.62-2.78
W: 0.4769 0.0000 0.5120  3 Se 2.36-2.60
Se: 0.1243 0.5000 0.7588  3 W 2.36-2.49
Se: 0.2857 0.0000 0.2726  3 W 2.60-2.64
Se: 0.2856 0.0000 0.7077  3 W 2.56-2.60

Computed properties:
volume = 427.9 Å³ per cell
magnetic moment = 0.00 μB/f.u.
raw formation energy = 264.2 meV/atom
E = -117.9 eV per cell

A plane-wave DFT calculation with PBE-GGA was carried out for an optimized crystal structure of Sn2WSe.

Cell: 6.3810 6.3810 12.5253 Å, 90.00 90.00 90.00°
Last column: nearest neighbours and their distance in Å.
Space group I-42d (No. 122)
Inequivalent atoms, fractional coordinates:
Sn: 0.2313 0.2500 0.1250  2 W 2.68, 2 Se 2.82
W: 0.0000 0.0000 0.0000  4 Sn 2.68
Se: 0.0000 0.0000 0.5000  4 Sn 2.82

Computed properties:
volume = 510.0 Å³ per cell
magnetic moment = 1.83 μB/f.u.
raw formation energy = 924.3 meV/atom
E = -83.0 eV per cell

A plane-wave DFT calculation with PBE-GGA was carried out for an optimized crystal structure of Sn2W2Se.

Cell: 4.6812 4.6812 5.5758 Å, 90.00 90.00 90.00°
Last column: nearest neighbours and their distance in Å.
Space group P4/mmm (No. 123)
Inequivalent atoms, fractional coordinates:
Sn: 0.0000 0.0000 0.0000  2 Se 2.79
Sn: 0.5000 0.5000 0.0000  4 Sn 3.31, 8 W 3.64
W: 0.0000 0.5000 0.5000  2 Se 2.34
Se: 0.0000 0.0000 0.5000  4 W 2.34

Computed properties:
volume = 122.2 Å³ per cell
magnetic moment = 0.04 μB/f.u.
raw formation energy = 1506.5 meV/atom
E = -29.9 eV per cell

A plane-wave DFT calculation with PBE-GGA was carried out for an optimized crystal structure of SnW2Se.

Cell: 4.2128 4.2128 18.2327 Å, 90.00 90.00 90.00°
Last column: nearest neighbours and their distance in Å.
Space group I-42d (No. 122)
Inequivalent atoms, fractional coordinates:
Sn: 0.0000 0.0000 0.0000  4 W 2.84, 4 Se 2.98
W: 0.1829 0.2500 0.6250  2 W 2.61, 2 Se 2.63, 2 Sn 2.84
Se: 0.0000 0.0000 0.5000  4 W 2.63

Computed properties:
volume = 323.6 Å³ per cell
ΔE to the lowest computed polymorph = 0.092 eV per atom
magnetic moment = 0.00 μB/f.u.
raw formation energy = 828.6 meV/atom
E = -120.3 eV per cell

A plane-wave DFT calculation with PBE-GGA was carried out for an optimized crystal structure of SnW3Se.

Cell: 4.6363 4.6363 4.6363 Å, 90.00 90.00 90.00°
Last column: nearest neighbours and their distance in Å.
Space group Pm-3m (No. 221)
Inequivalent atoms, fractional coordinates:
Sn: 0.0000 0.0000 0.0000  12 W 3.28
W: 0.0000 0.5000 0.5000  2 Se 2.32
Se: 0.5000 0.5000 0.5000  6 W 2.32

Computed properties:
volume = 99.7 Å³ per cell
ΔE to the lowest computed polymorph = 0.000 eV per atom
magnetic moment = 0.00 μB/f.u.
raw formation energy = 1534.2 meV/atom
E = -38.7 eV per cell

A plane-wave DFT calculation with PBE-GGA was carried out for an optimized crystal structure of YSnW2Se.

Cell: 4.6710 4.6710 5.2561 Å, 90.00 90.00 90.00°
Last column: nearest neighbours and their distance in Å.
Space group P4/mmm (No. 123)
Inequivalent atoms, fractional coordinates:
Y: 0.0000 0.0000 0.0000  2 Se 2.63
Sn: 0.5000 0.5000 0.0000  4 Y 3.30, 8 W 3.52
W: 0.0000 0.5000 0.5000  2 Se 2.34
Se: 0.0000 0.0000 0.5000  4 W 2.34

Computed properties:
volume = 114.7 Å³ per cell
magnetic moment = 0.00 μB/f.u.
raw formation energy = 842.9 meV/atom
E = -35.6 eV per cell

A plane-wave DFT calculation with PBE-GGA was carried out for an optimized crystal structure of YSnSe3.

Cell: 5.4373 5.4373 5.4373 Å, 90.00 90.00 90.00°
Last column: nearest neighbours and their distance in Å.
Space group Pm-3m (No. 221)
Inequivalent atoms, fractional coordinates:
Y: 0.0000 0.0000 0.0000  6 Se 2.72
Sn: 0.5000 0.5000 0.5000  12 Se 3.84
Se: 0.0000 0.0000 0.5000  2 Y 2.72

Computed properties:
volume = 160.8 Å³ per cell
ΔE to the lowest computed polymorph = 0.436 eV per atom
magnetic moment = 0.00 μB/f.u.
raw formation energy = -548.5 meV/atom
E = -23.7 eV per cell

A plane-wave DFT calculation with PBE-GGA was carried out for an optimized crystal structure of Y3SnSe6.

Cell: 11.2160 14.0493 7.0266 Å, 90.00 90.00 90.00°
Last column: nearest neighbours and their distance in Å.
Space group Cmc2_1 (No. 36)
Inequivalent atoms, fractional coordinates:
Y: 0.0000 0.0941 0.0000  7 Se 2.88-3.04
Y: 0.1861 0.4024 0.0920  7 Se 2.84-3.12
Sn: 0.0000 0.2998 0.6236  4 Se 2.69-2.80
Se: 0.0000 0.2784 0.2278  1 Sn 2.80, 3 Y 2.88-3.04
Se: 0.0000 0.4724 0.8077  1 Sn 2.75, 2 Y 3.05
Se: 0.1627 0.0337 0.2938  4 Y 2.84-2.94
Se: 0.1778 0.2268 0.8340  1 Sn 2.69, 2 Y 2.92-2.97

Computed properties:
volume = 1107.2 Å³ per cell
magnetic moment = 0.00 μB/f.u.
raw formation energy = -1442.8 meV/atom
E = -234.9 eV per cell

A plane-wave DFT calculation with PBE-GGA was carried out for an optimized crystal structure of Y4SnSe2.

Cell: 4.1998 13.1864 13.7108 Å, 90.00 90.00 90.00°
Last column: nearest neighbours and their distance in Å.
Space group Cmcm (No. 63)
Inequivalent atoms, fractional coordinates:
Y: 0.0000 0.0000 0.0000  4 Se 2.88
Y: 0.0000 0.2705 0.1234  3 Se 2.79-2.89
Y: 0.0000 0.4392 0.7500  2 Se 2.79, 2 Sn 3.06
Sn: 0.0000 0.1079 0.7500  6 Y 3.06-3.16
Se: 0.0000 0.3643 0.5593  6 Y 2.79-2.89

Computed properties:
volume = 759.3 Å³ per cell
magnetic moment = 0.00 μB/f.u.
raw formation energy = -1273.1 meV/atom
E = -183.0 eV per cell